# 1
Here is a relaxed structure of Li5VO3F2 from Alexandria via LeMat-Bulk. Energies are from GGA-PBEsol.

Properties
Distance to the lowest polymorph of the same formula, eV/atom: 0.000

Cell lengths 5.199, 5.199, 5.945 Å; angles 110.79, 110.79, 43.48 degrees
Positions (direct):
Li 0.000 0.000 0.000
Li 0.015 0.015 0.498
Li 0.374 0.374 0.220
Li 0.400 0.400 0.655
Li 0.722 0.722 0.801
V 0.692 0.692 0.354
O 0.192 0.192 0.313
O 0.552 0.552 0.518
O 0.865 0.865 0.659
F 0.501 0.501 0.019
F 0.837 0.837 0.140

# 2
Here is a relaxed structure of Li5VO4F from Alexandria via LeMat-Bulk. Energies are from GGA-PBEsol.

Properties
Distance to the lowest polymorph of the same formula, eV/atom: 0.010

Cell lengths 5.119, 8.785, 5.180 Å; angles 90.00, 112.26, 90.00 degrees
Positions (direct):
Li 0.165 0.000 0.010
Li 0.180 0.286 0.911
Li 0.224 0.183 0.407
Li 0.292 0.814 0.505
Li 0.313 0.697 0.053
Li 0.687 0.197 0.947
Li 0.708 0.314 0.495
Li 0.776 0.683 0.593
Li 0.820 0.786 0.089
Li 0.835 0.500 0.990
V 0.256 0.515 0.590
V 0.744 0.015 0.410
O 0.037 0.981 0.312
O 0.105 0.631 0.284
O 0.433 0.336 0.683
O 0.482 0.148 0.194
O 0.518 0.648 0.806
O 0.567 0.836 0.317
O 0.895 0.131 0.716
O 0.963 0.481 0.688
F 0.032 0.820 0.818
F 0.968 0.320 0.182

# 3
Here is a relaxed structure of LiV6O7F5 from Alexandria via LeMat-Bulk. Energies are from GGA-PBEsol.

Cell lengths 5.501, 5.600, 7.319 Å; angles 69.97, 70.97, 72.65 degrees
Positions (direct):
Li 0.000 0.000 0.000
V 0.011 0.536 0.964
V 0.026 0.483 0.473
V 0.301 0.832 0.640
V 0.412 0.832 0.176
V 0.644 0.188 0.803
V 0.658 0.198 0.328
O 0.245 0.725 0.445
O 0.309 0.192 0.476
O 0.369 0.481 0.814
O 0.618 0.073 0.112
O 0.664 0.537 0.149
O 0.765 0.287 0.515
O 0.948 0.886 0.802
F 0.070 0.155 0.154
F 0.108 0.647 0.165
F 0.396 0.953 0.859
F 0.704 0.804 0.494
F 0.921 0.386 0.783

# 4
Here is a relaxed structure of Li4V4O3F9 from Alexandria via LeMat-Bulk. Energies are from GGA-PBEsol.

Cell lengths 5.024, 5.449, 8.868 Å; angles 73.30, 89.33, 62.65 degrees
Positions (direct):
Li 0.000 0.000 0.000
Li 0.197 0.558 0.723
Li 0.517 0.999 0.492
Li 0.738 0.474 0.234
V 0.052 0.870 0.344
V 0.260 0.375 0.084
V 0.579 0.861 0.850
V 0.821 0.384 0.591
O 0.095 0.135 0.168
O 0.965 0.653 0.522
O 0.996 0.631 0.902
F 0.001 0.652 0.205
F 0.089 0.117 0.471
F 0.115 0.137 0.793
F 0.462 0.644 0.045
F 0.505 0.615 0.394
F 0.526 0.644 0.710
F 0.564 0.140 0.963
F 0.598 0.160 0.288
F 0.599 0.142 0.648

# 5
Here is a relaxed structure of Li2VOF3 from Alexandria via LeMat-Bulk. Energies are from GGA-PBEsol.

Properties
Distance to the lowest polymorph of the same formula, eV/atom: 0.012

Cell lengths 5.817, 4.973, 5.373 Å; angles 90.00, 117.31, 90.00 degrees
Positions (direct):
Li 0.000 0.231 0.000
Li 0.000 0.769 0.500
Li 0.292 0.242 0.721
Li 0.292 0.758 0.221
V 0.578 0.221 0.435
V 0.578 0.779 0.935
O 0.466 0.048 0.095
O 0.466 0.952 0.595
F 0.236 0.407 0.324
F 0.236 0.593 0.824
F 0.693 0.436 0.809
F 0.693 0.564 0.309
F 0.950 0.107 0.623
F 0.950 0.893 0.123

# 6
Here is a relaxed structure of Li2VOF4 from Alexandria via LeMat-Bulk. Energies are from GGA-PBEsol.

Properties
Distance to the lowest polymorph of the same formula, eV/atom: 0.005

Cell lengths 3.569, 10.023, 5.192 Å; angles 90.00, 110.07, 90.00 degrees
Positions (direct):
Li 0.136 0.000 0.272
Li 0.185 0.673 0.371
Li 0.815 0.173 0.629
Li 0.864 0.500 0.728
V 0.141 0.363 0.279
V 0.859 0.863 0.721
O 0.336 0.856 0.673
O 0.664 0.356 0.327
F 0.038 0.798 0.076
F 0.055 0.532 0.108
F 0.229 0.184 0.456
F 0.308 0.473 0.614
F 0.692 0.973 0.386
F 0.771 0.684 0.544
F 0.945 0.032 0.892
F 0.962 0.298 0.924

Number 1: formation energy (no corrections) -2.30 eV per atom, magnetic moment 2.00 μB/f.u.. Number 2: formation energy (no corrections) -2.26 eV per atom, magnetic moment 1.00 μB/f.u.. Number 3: formation energy (no corrections) -2.42 eV per atom, magnetic moment 12.00 μB/f.u.. Number 4: formation energy (no corrections) -2.61 eV per atom, magnetic moment 9.00 μB/f.u.. Number 5: formation energy (no corrections) -2.71 eV per atom, magnetic moment 2.00 μB/f.u.. Number 6: formation energy (no corrections) -2.83 eV per atom, magnetic moment 1.00 μB/f.u..